Density functional theory data (PBE) for an optimized crystal structure of Ca6PtAu3.

The structure in POSCAR format:
```
Ca6PtAu3
1.0
11.007 0.000 0.000
0.000 4.288 0.000
-4.354 0.000 12.062
Ca Pt Au
12 2 6
Cartesian
-1.399 1.072 4.619
-3.066 1.072 10.960
1.385 3.216 3.940
0.377 3.216 9.549
3.388 3.216 1.364
1.967 1.072 6.868
4.687 3.216 5.195
3.266 1.072 10.698
6.277 1.072 2.514
5.268 1.072 8.123
9.720 3.216 1.102
8.053 3.216 7.444
3.389 1.072 3.597
3.265 3.216 8.465
0.770 1.072 1.936
-0.195 3.216 6.462
0.176 1.072 11.632
6.478 3.216 0.430
6.848 1.072 5.600
5.884 3.216 10.126
```

Summary:
Fermi-level density of states = 10.303 states/eV/cell
formation enthalpy at 0 K = -691 meV/atom
spin magnetization = 0.0 Bohr magnetons per cell
volume = 569.3 Å³/cell

=====

Density functional theory data (PBE) for an optimized crystal structure of Sr3HgRh.

The structure in POSCAR format:
```
Sr3HgRh
1.0
5.788 0.000 0.000
0.000 5.788 0.000
0.000 0.000 5.788
Sr Hg Rh
3 1 1
Cartesian
0.000 0.000 2.894
0.000 2.894 0.000
2.894 0.000 0.000
2.894 2.894 2.894
0.000 0.000 0.000
```

Summary:
Fermi-level density of states = 2.673 states/eV/cell
formation enthalpy at 0 K = -236 meV/atom
spin magnetization = 0.0 Bohr magnetons per cell
volume = 193.9 Å³/cell
polymorph energy (0 for the lowest one) = 89 meV/atom

=====

Density functional theory data (PBE) for an optimized crystal structure of Rb2LiH2.

The structure in POSCAR format:
```
Rb2LiH2
1.0
7.999 0.000 0.000
0.000 7.999 0.000
0.000 0.000 3.974
Rb Li H
4 2 4
Cartesian
1.208 2.791 0.000
2.791 6.791 0.000
5.208 1.208 0.000
6.791 5.208 0.000
0.000 0.000 1.987
4.000 4.000 1.987
1.285 5.284 1.987
2.715 1.285 1.987
5.284 6.714 1.987
6.714 2.715 1.987
```

Summary:
Fermi-level density of states = 0.000 states/eV/cell
spin magnetization = 2.0 Bohr magnetons per cell
volume = 254.3 Å³/cell
polymorph energy (0 for the lowest one) = 0 meV/atom